1.
VASP calculation (PBE-GGA) on K3TlTc2O9 after structural relaxation.

a b c (Å): 5.7294 5.7294 7.1987
angles (deg): 90.00 90.00 120.00
Space group P-3m1 (No. 164)
One atom of each set of equivalent atoms:
K  0.0000  0.0000  0.0000
K  0.3333  0.6667  0.6691
Tl  0.0000  0.0000  0.5000
Tc  0.3333  0.6667  0.1579
O  0.0000  0.5000  0.0000
O  0.1765  0.3529  0.3045

Values from the calculation:
total magnetization: 0.000 μB/atom
raw formation energy: -1.33 eV per atom
crystal system: trigonal

2.
VASP calculation (PBE-GGA) on Tm2Si3Ni4Ge after structural relaxation.

a b c (Å): 3.963 3.963 9.505
angles (deg): 90.00 90.00 90.00
Space group P-4m2 (No. 115)
One atom of each set of equivalent atoms:
Tm  0.000  0.500  0.246
Si  0.000  0.500  0.873
Si  0.500  0.500  0.500
Ni  0.000  0.000  0.000
Ni  0.000  0.500  0.633
Ni  0.500  0.500  0.000
Ge  0.000  0.000  0.500

Values from the calculation:
total magnetization: 0.000 μB/atom
raw formation energy: -0.79 eV per atom
crystal system: tetragonal

3.
VASP calculation (PBE-GGA) on Tm3ScHg2 after structural relaxation.

a b c (Å): 3.628 3.628 11.745
angles (deg): 90.00 90.00 90.00
Space group P4/mmm (No. 123)
One atom of each set of equivalent atoms:
Tm  0.000  0.000  0.000
Tm  0.000  0.000  0.319
Sc  0.500  0.500  0.500
Hg  0.500  0.500  0.162

Values from the calculation:
total magnetization: 0.000 μB/atom
DFT formation energy: -0.29 eV/atom
crystal system: tetragonal

4.
VASP calculation (PBE-GGA) on Dy2Tc2BC2 after structural relaxation.

a b c (Å): 11.854 3.367 5.791
angles (deg): 90.00 114.59 90.00
Space group C2/m (No. 12)
One atom of each set of equivalent atoms:
Dy  0.112  0.000  0.319
Tc  0.164  0.500  0.823
B  0.000  0.500  0.500
C  0.247  0.500  0.230

Values from the calculation:
total magnetization: 0.000 μB/atom
DFT formation energy: -0.31 eV/atom
crystal system: monoclinic

5.
VASP calculation (PBE-GGA) on RbTlF after structural relaxation.

a b c (Å): 3.908 3.970 10.931
angles (deg): 90.00 90.00 90.00
Space group Pmmn (No. 59, origin choice 2)
One atom of each set of equivalent atoms:
Rb  0.250  0.250  0.134
Tl  0.250  0.250  0.588
F  0.250  0.250  0.872

Values from the calculation:
total magnetization: 0.000 μB/atom
raw formation energy: -1.65 eV per atom
crystal system: orthorhombic

6.
VASP calculation (PBE-GGA) on Pr2GaPt after structural relaxation.

a b c (Å): 6.083 4.422 8.222
angles (deg): 90.00 110.07 90.00
Space group P2_1/m (No. 11)
One atom of each set of equivalent atoms:
Pr  0.184  0.250  0.412
Pr  0.279  0.750  0.061
Ga  0.373  0.750  0.704
Pt  0.146  0.250  0.790

Values from the calculation:
total magnetization: 0.000 μB/atom
DFT formation energy: -0.82 eV/atom
crystal system: monoclinic

7.
VASP calculation (PBE-GGA) on Zn2Co2W after structural relaxation.

a b c (Å): 6.916 6.916 2.668
angles (deg): 90.00 90.00 90.00
Space group P4/mbm (No. 127)
One atom of each set of equivalent atoms:
Zn  0.122  0.378  0.000
Co  0.179  0.679  0.500
W  0.000  0.000  0.000

Values from the calculation:
total magnetization: 0.000 μB/atom
DFT formation energy: 0.22 eV/atom
crystal system: tetragonal

8.
VASP calculation (PBE-GGA) on SrCo2Cl after structural relaxation.

a b c (Å): 3.374 3.374 8.147
angles (deg): 90.00 90.00 90.00
Space group P4mm (No. 99)
One atom of each set of equivalent atoms:
Sr  0.000  0.000  0.000
Co  0.000  0.000  0.648
Co  0.500  0.500  0.700
Cl  0.500  0.500  0.199

Values from the calculation:
total magnetization: 0.803 μB/atom
raw formation energy: -0.17 eV per atom
crystal system: tetragonal

9.
VASP calculation (PBE-GGA) on SrNd4S6 after structural relaxation.

a b c (Å): 4.064 13.480 20.767
angles (deg): 90.00 90.00 90.00
Space group Cmcm (No. 63)
One atom of each set of equivalent atoms:
Sr  0.000  0.158  0.250
Nd  0.000  0.094  0.631
Nd  0.000  0.363  0.542
S  0.000  0.000  0.000
S  0.000  0.185  0.750
S  0.000  0.271  0.087
S  0.000  0.456  0.663

Values from the calculation:
total magnetization: 0.000 μB/atom
raw formation energy: -2.05 eV per atom
crystal system: orthorhombic

10.
VASP calculation (PBE-GGA) on NaPmPb2I8 after structural relaxation.

a b c (Å): 7.314 9.462 7.786
angles (deg): 90.00 90.69 90.00
Space group P2/m (No. 10)
One atom of each set of equivalent atoms:
Na  0.000  0.000  0.000
Pm  0.000  0.500  0.000
Pb  0.500  0.244  0.500
I  0.239  0.500  0.668
I  0.241  0.258  0.153
I  0.258  0.000  0.656

Values from the calculation:
total magnetization: 0.000 μB/atom
raw formation energy: -0.97 eV per atom
crystal system: monoclinic

11.
VASP calculation (PBE-GGA) on Cs5K5Pt after structural relaxation.

a b c (Å): 36.775 6.582 7.078
angles (deg): 90.00 90.13 90.00
Space group C2/m (No. 12)
One atom of each set of equivalent atoms:
Cs  0.000  0.000  0.000
Cs  0.098  0.500  0.999
Cs  0.196  0.500  0.502
K  0.000  0.500  0.500
K  0.086  0.000  0.499
K  0.202  0.000  0.003
Pt  0.000  0.000  0.500

Values from the calculation:
total magnetization: 0.000 μB/atom
DFT formation energy: 0.03 eV/atom
crystal system: monoclinic

12.
VASP calculation (PBE-GGA) on Pm2Y6TmSc after structural relaxation.

a b c (Å): 9.051 14.818 9.653
angles (deg): 90.00 99.61 90.00
Space group C2/c (No. 15)
One atom of each set of equivalent atoms:
Pm  0.246  0.049  0.047
Y  0.064  0.189  0.443
Y  0.100  0.397  0.616
Y  0.210  0.218  0.810
Tm  0.000  0.018  0.750
Sc  0.000  0.409  0.250

Values from the calculation:
total magnetization: 0.000 μB/atom
DFT formation energy: 0.12 eV/atom
crystal system: monoclinic

Number 1: Fermi-level density of states 7.014 states/eV/f.u.. Number 2: Fermi-level density of states 5.518 states/eV/f.u.. Number 3: Fermi-level density of states 6.633 states/eV/f.u.. Number 4: Fermi-level density of states 3.749 states/eV/f.u.. Number 5: Fermi-level density of states 0.308 states/eV/f.u.. Number 6: Fermi-level density of states 3.314 states/eV/f.u.. Number 7: Fermi-level density of states 4.472 states/eV/f.u.. Number 8: Fermi-level density of states 3.019 states/eV/f.u.. Number 9: Fermi-level density of states 3.387 states/eV/f.u.. Number 10: Fermi-level density of states 0.000 states/eV/f.u.. Number 11: Fermi-level density of states 8.688 states/eV/f.u.. Number 12: Fermi-level density of states 13.710 states/eV/f.u..